LiMgNi2O4 | PBE+U | relaxed

## Properties
Size of the total moment (μB/f.u.): 3.00
Final energy (eV/f.u.): -41.13

Unit cell a=2.9714 b=5.1092 c=5.0742 alpha=108.74 beta=90.00 gamma=90.00
Closest atoms and distances in Å follow each position.
Fractional positions:
Li  0.0000  0.0000  0.0000  6 O 2.15-2.18
Mg  0.5000  0.5000  0.0000  6 O 2.07-2.10
Ni  0.5000  0.0000  0.5000  6 O 2.07-2.11
Ni  0.0000  0.5000  0.5000  6 O 1.96-2.05
O  0.5000  0.2621  0.2614  3 Ni 2.05-2.07, 1 Mg 2.07, 2 Li 2.15
O  0.5000  0.7379  0.7386  3 Ni 2.05-2.07, 1 Mg 2.07, 2 Li 2.15
O  0.0000  0.2649  0.7377  3 Ni 1.96-2.11, 2 Mg 2.10, 1 Li 2.18
O  0.0000  0.7351  0.2623  3 Ni 1.96-2.11, 2 Mg 2.10, 1 Li 2.18

Li7MgNi7O16 | PBE+U | relaxed

## Properties
Size of the total moment (μB/f.u.): 5.00
Final energy (eV/f.u.): -152.63

Unit cell a=5.0688 b=5.7997 c=9.9545 alpha=106.15 beta=100.85 gamma=89.92
Closest atoms and distances in Å follow each position.
Fractional positions:
Li  0.2395  0.8695  0.7417  6 O 2.03-2.26
Li  0.2327  0.3828  0.7476  6 O 2.05-2.22
Li  0.5061  0.2564  0.0014  5 O 2.02-2.20
Li  0.7605  0.1305  0.2583  6 O 2.03-2.26
Li  0.7673  0.6172  0.2524  6 O 2.05-2.22
Li  0.4939  0.7436  0.9986  5 O 2.02-2.20
Li  0.0000  0.0000  0.5000  6 O 2.05-2.23
Mg  0.0000  0.0000  0.0000  6 O 2.05-2.08
Ni  0.7413  0.6326  0.7498  6 O 1.87-2.06
Ni  0.7315  0.1371  0.7519  6 O 1.88-1.92
Ni  0.0000  0.5000  0.0000  6 O 1.92-2.09
Ni  0.2587  0.3674  0.2502  6 O 1.87-2.06
Ni  0.2685  0.8629  0.2481  6 O 1.88-1.92
Ni  0.5077  0.7509  0.5002  5 O 1.89-2.09
Ni  0.4923  0.2491  0.4998  5 O 1.89-2.09
O  0.0770  0.2034  0.8719  2 Ni 1.90-1.92, 1 Mg 2.05, 1 Li 2.08
O  0.6267  0.9461  0.8642  2 Ni 1.92-2.01, 1 Mg 2.08, 2 Li 2.08-2.10
O  0.3733  0.0539  0.1358  2 Ni 1.92-2.01, 1 Mg 2.08, 2 Li 2.08-2.10
O  0.9153  0.3226  0.1279  2 Ni 1.90-1.95, 1 Mg 2.05, 1 Li 2.05
O  0.6207  0.4246  0.8674  3 Ni 1.89-2.09, 2 Li 2.02-2.08
O  0.0847  0.6774  0.8721  2 Ni 1.90-1.95, 1 Mg 2.05, 1 Li 2.05
O  0.3793  0.5754  0.1326  3 Ni 1.89-2.09, 2 Li 2.02-2.08
O  0.9230  0.7966  0.1281  2 Ni 1.90-1.92, 1 Mg 2.05, 1 Li 2.08
O  0.5906  0.4142  0.3761  3 Ni 1.87-2.09, 1 Li 2.03
O  0.1695  0.6851  0.3647  3 Ni 1.88-1.98
O  0.8436  0.8538  0.6351  3 Ni 1.89-2.06, 2 Li 2.05-2.08
O  0.6053  0.9169  0.3759  3 Ni 1.90-2.12, 2 Li 2.10-2.12
O  0.4094  0.5858  0.6239  3 Ni 1.87-2.09, 1 Li 2.03
O  0.1564  0.1462  0.3649  3 Ni 1.89-2.06, 2 Li 2.05-2.08
O  0.3947  0.0831  0.6241  3 Ni 1.90-2.12, 2 Li 2.10-2.12
O  0.8305  0.3149  0.6353  3 Ni 1.88-1.98

Li7MgNi7O16 | PBE+U | relaxed

## Properties
Size of the total moment (μB/f.u.): 4.97
Final energy (eV/f.u.): -151.21

Unit cell a=7.6404 b=7.6404 c=5.0460 alpha=77.28 beta=77.28 gamma=98.24
Closest atoms and distances in Å follow each position.
Fractional positions:
Li  0.5034  0.0041  0.5022  5 O 1.95-2.16
Li  0.2313  0.2335  0.5440  4 O 1.96-2.10
Li  0.8829  0.1171  0.5000  6 O 2.09-2.22
Li  0.9959  0.4966  0.4978  5 O 1.95-2.16
Li  0.6218  0.3782  0.5000  6 O 2.05-2.14
Li  0.3791  0.6209  0.5000  6 O 2.12-2.16
Li  0.7665  0.7687  0.4560  4 O 1.96-2.10
Mg  0.1194  0.8806  0.5000  6 O 2.01-2.09
Ni  0.3669  0.1224  0.0048  6 O 1.89-2.10
Ni  0.7488  0.2512  0.0000  6 O 1.88-1.91
Ni  0.1197  0.3677  0.0022  6 O 1.92-2.10
Ni  0.5009  0.4991  0.0000  6 O 1.94-2.09
Ni  0.8776  0.6331  0.9952  6 O 1.89-2.10
Ni  0.2496  0.7504  0.0000  6 O 1.86-1.94
Ni  0.6323  0.8803  0.9978  6 O 1.92-2.10
O  0.7326  0.0152  0.2278  2 Ni 1.88-1.92, 2 Li 1.96-2.06
O  0.1479  0.1347  0.2565  2 Ni 1.89-2.02, 2 Li 1.96-2.09, 1 Mg 2.01
O  0.6206  0.1257  0.7889  3 Ni 1.91-2.00
O  0.5176  0.2630  0.2216  3 Ni 1.90-2.10, 1 Li 2.05
O  0.2563  0.5080  0.2120  3 Ni 1.94-2.01, 2 Li 2.16
O  0.3588  0.3602  0.7737  3 Ni 1.95-2.09, 3 Li 1.99-2.14
O  0.8743  0.3794  0.2111  3 Ni 1.91-2.00
O  0.9848  0.2674  0.7722  2 Ni 1.88-1.92, 2 Li 1.96-2.06
O  0.6398  0.6412  0.2263  3 Ni 1.95-2.09, 3 Li 1.99-2.14
O  0.1256  0.6358  0.7770  3 Ni 1.90-2.10, 1 Mg 2.09
O  0.0225  0.7355  0.2401  2 Ni 1.86-2.04, 1 Li 1.95
O  0.7370  0.4824  0.7784  3 Ni 1.90-2.10, 1 Li 2.05
O  0.3642  0.8744  0.2230  3 Ni 1.90-2.10, 1 Mg 2.09
O  0.4920  0.7437  0.7880  3 Ni 1.94-2.01, 2 Li 2.16
O  0.2645  0.9775  0.7599  2 Ni 1.86-2.04, 1 Li 1.95
O  0.8653  0.8521  0.7435  2 Ni 1.89-2.02, 2 Li 1.96-2.09, 1 Mg 2.01

Li6MgNi7O16 | PBE+U | relaxed

## Properties
Size of the total moment (μB/f.u.): 4.00
Final energy (eV/f.u.): -146.67

Unit cell a=4.9210 b=5.1189 c=11.2772 alpha=79.98 beta=85.51 gamma=79.59
Closest atoms and distances in Å follow each position.
Fractional positions:
Li  0.2519  0.0746  0.9316  6 O 2.03-2.26
Li  0.7481  0.9254  0.0684  6 O 2.03-2.26
Li  0.2665  0.8200  0.1958  5 O 2.03-2.15
Li  0.2558  0.5603  0.4397  5 O 2.02-2.25
Li  0.7442  0.4397  0.5603  5 O 2.02-2.25
Li  0.7335  0.1800  0.8042  5 O 2.03-2.15
Mg  0.5000  0.5000  0.0000  6 O 2.03-2.06
Ni  0.9919  0.6203  0.8759  6 O 1.88-1.91
Ni  0.0081  0.3797  0.1241  6 O 1.88-1.91
Ni  0.5115  0.2590  0.2485  6 O 1.88-2.09
Ni  0.0023  0.1351  0.3757  4 O 1.88-1.94
Ni  0.5000  0.0000  0.5000  6 O 1.87-1.91
Ni  0.9977  0.8649  0.6243  4 O 1.88-1.94
Ni  0.4885  0.7410  0.7515  6 O 1.88-2.09
O  0.8933  0.3081  0.9764  2 Ni 1.91, 1 Mg 2.03, 1 Li 2.03
O  0.6414  0.8325  0.9034  2 Ni 1.90-2.08, 3 Li 2.03-2.12, 1 Mg 2.06
O  0.6456  0.5622  0.1557  2 Ni 1.90-1.91, 1 Mg 2.04, 1 Li 2.07
O  0.3586  0.1675  0.0966  2 Ni 1.90-2.08, 3 Li 2.03-2.12, 1 Mg 2.06
O  0.1067  0.6919  0.0236  2 Ni 1.91, 1 Mg 2.03, 1 Li 2.03
O  0.8848  0.0824  0.2223  3 Ni 1.88-1.94
O  0.1537  0.4585  0.2621  2 Ni 1.88-1.90, 1 Li 2.03
O  0.6366  0.3024  0.4160  3 Ni 1.87-2.09, 1 Li 2.02
O  0.3716  0.9555  0.3508  3 Ni 1.91-1.96, 1 Li 2.12
O  0.8611  0.7994  0.4832  2 Ni 1.88-1.90, 1 Li 2.06
O  0.1389  0.2006  0.5168  2 Ni 1.88-1.90, 1 Li 2.06
O  0.8463  0.5415  0.7379  2 Ni 1.88-1.90, 1 Li 2.03
O  0.6284  0.0445  0.6492  3 Ni 1.91-1.96, 1 Li 2.12
O  0.3634  0.6976  0.5840  3 Ni 1.87-2.09, 1 Li 2.02
O  0.3544  0.4378  0.8443  2 Ni 1.90-1.91, 1 Mg 2.04, 1 Li 2.07
O  0.1152  0.9176  0.7777  3 Ni 1.88-1.94

LiMg2NiO4 | PBE+U | relaxed

## Properties
Size of the total moment (μB/f.u.): 0.97
Final energy (eV/f.u.): -42.92

Unit cell a=3.0022 b=5.0066 c=5.1014 alpha=71.95 beta=90.00 gamma=90.00
Closest atoms and distances in Å follow each position.
Fractional positions:
Li  0.5000  0.5000  0.0000  6 O 2.05-2.15
Mg  0.0000  0.0000  0.0000  6 O 2.12-2.14
Mg  0.5000  0.0000  0.5000  6 O 2.04-2.08
Ni  0.0000  0.5000  0.5000  6 O 1.95-2.11
O  0.0000  0.7474  0.7302  1 Ni 1.95, 3 Mg 2.08-2.14, 2 Li 2.15
O  0.0000  0.2526  0.2698  1 Ni 1.95, 3 Mg 2.08-2.14, 2 Li 2.15
O  0.5000  0.7502  0.2520  3 Mg 2.04-2.12, 1 Li 2.05, 2 Ni 2.11
O  0.5000  0.2498  0.7480  3 Mg 2.04-2.12, 1 Li 2.05, 2 Ni 2.11